No. 1
Crystalline BeSi4Pt at its relaxed geometry, computed with PBE.

Results
- DOS(E_F) (states/eV/atom) = 0.625
- space-group type = No. 216
- spin magnetization (μB per formula unit) = 0.00
- raw formation energy (eV/atom) = 0.59

abc: 4.979 4.979 4.979
angles: 60.00 60.00 60.00
Positions (direct):
Pt 0.000 0.000 0.000
Si 0.624 0.624 0.127
Si 0.127 0.624 0.624
Si 0.624 0.624 0.624
Si 0.624 0.127 0.624
Be 0.250 0.250 0.250

---

No. 2
Crystalline BaCaTc at its relaxed geometry, computed with PBE.

Results
- DOS(E_F) (states/eV/atom) = 1.030
- relative energy among the computed polymorphs (meV per atom) = 719
- energy relative to the elements (eV/atom) = 1.46
- space-group type = No. 216
- spin magnetization (μB per formula unit) = 2.80

abc: 5.290 5.290 5.290
angles: 60.00 60.00 60.00
Positions (direct):
Ca 0.000 0.000 0.000
Ba 0.750 0.750 0.750
Tc 0.500 0.500 0.500

---

No. 3
Crystalline Li2Bi2TeO6 at its relaxed geometry, computed with PBE.

Results
- space-group type = No. 166
- spin magnetization (μB per formula unit) = 0.00
- raw formation energy (eV/atom) = -1.18

abc: 5.999 5.999 6.538
angles: 62.69 62.69 60.00
Positions (direct):
Li 0.422 0.422 0.735
Li 0.578 0.578 0.265
Te 0.000 0.000 0.000
O 0.246 0.790 0.717
O 0.754 0.754 0.283
O 0.754 0.210 0.283
O 0.246 0.246 0.717
O 0.210 0.754 0.283
O 0.790 0.246 0.717
Bi 0.814 0.814 0.558
Bi 0.186 0.186 0.442

---

No. 4
Crystalline CsAc3Cl10 at its relaxed geometry, computed with PBE.

Results
- DOS(E_F) (states/eV/atom) = 0.000
- space-group type = No. 225
- spin magnetization (μB per formula unit) = 0.00
- raw formation energy (eV/atom) = -2.40

abc: 10.766 10.766 10.766
angles: 60.00 60.00 60.00
Positions (direct):
Cl 0.336 0.000 0.000
Cl 0.614 0.614 0.159
Cl 0.614 0.159 0.614
Cl 0.386 0.386 0.841
Cl 0.000 0.664 0.000
Cl 0.614 0.614 0.614
Cl 0.000 0.664 0.336
Cl 0.000 0.336 0.664
Cl 0.336 0.000 0.664
Cl 0.000 0.336 0.000
Cl 0.386 0.386 0.386
Cl 0.664 0.000 0.336
Cl 0.159 0.614 0.614
Cl 0.664 0.336 0.000
Cl 0.000 0.000 0.664
Cl 0.000 0.000 0.336
Cl 0.841 0.386 0.386
Cl 0.386 0.841 0.386
Cl 0.664 0.000 0.000
Cl 0.336 0.664 0.000
Cs 0.750 0.750 0.750
Cs 0.250 0.250 0.250
Ac 0.739 0.739 0.261
Ac 0.739 0.261 0.739
Ac 0.261 0.739 0.261
Ac 0.261 0.261 0.739
Ac 0.261 0.739 0.739
Ac 0.739 0.261 0.261

---

No. 5
Crystalline Y2SnHg at its relaxed geometry, computed with PBE.

Results
- DOS(E_F) (states/eV/atom) = 0.549
- energy relative to the elements (eV/atom) = -0.32
- space-group type = No. 122
- spin magnetization (μB per formula unit) = 0.00

abc: 8.162 8.162 6.762
angles: 52.88 52.88 90.00
Positions (direct):
Y 0.875 0.882 0.750
Y 0.632 0.125 0.250
Y 0.375 0.368 0.750
Y 0.118 0.625 0.250
Sn 0.250 0.750 0.500
Sn 0.500 0.500 0.000
Hg 0.000 0.000 0.000
Hg 0.750 0.250 0.500

---

No. 6
Crystalline K2HoPuO6 at its relaxed geometry, computed with PBE.

Results
- space-group type = No. 225
- spin magnetization (μB per formula unit) = 1.00
- raw formation energy (eV/atom) = -2.57

abc: 6.047 6.047 8.552
angles: 90.00 90.00 90.00
Positions (direct):
Ho 0.000 0.750 0.500
Ho 0.500 0.250 0.000
K 0.000 0.250 0.750
K 0.500 0.750 0.750
K 0.000 0.250 0.250
K 0.500 0.750 0.250
O 0.237 0.514 0.000
O 0.500 0.250 0.737
O 0.737 0.486 0.500
O 0.236 0.987 0.000
O 0.763 0.514 0.000
O 0.263 0.486 0.500
O 0.264 0.013 0.500
O 0.764 0.987 0.000
O 0.500 0.250 0.263
O 0.000 0.750 0.763
O 0.736 0.013 0.500
O 0.000 0.750 0.237
Pu 0.000 0.750 0.000
Pu 0.500 0.250 0.500

---

Question: spin magnetization of number 5 (Y2SnHg)?
Answer: 0.00 μB per formula unit

---

Please write out number 4 again, unchanged.
Crystalline CsAc3Cl10 at its relaxed geometry, computed with PBE.

Results
- DOS(E_F) (states/eV/atom) = 0.000
- space-group type = No. 225
- spin magnetization (μB per formula unit) = 0.00
- raw formation energy (eV/atom) = -2.40

abc: 10.766 10.766 10.766
angles: 60.00 60.00 60.00
Positions (direct):
Cl 0.336 0.000 0.000
Cl 0.614 0.614 0.159
Cl 0.614 0.159 0.614
Cl 0.386 0.386 0.841
Cl 0.000 0.664 0.000
Cl 0.614 0.614 0.614
Cl 0.000 0.664 0.336
Cl 0.000 0.336 0.664
Cl 0.336 0.000 0.664
Cl 0.000 0.336 0.000
Cl 0.386 0.386 0.386
Cl 0.664 0.000 0.336
Cl 0.159 0.614 0.614
Cl 0.664 0.336 0.000
Cl 0.000 0.000 0.664
Cl 0.000 0.000 0.336
Cl 0.841 0.386 0.386
Cl 0.386 0.841 0.386
Cl 0.664 0.000 0.000
Cl 0.336 0.664 0.000
Cs 0.750 0.750 0.750
Cs 0.250 0.250 0.250
Ac 0.739 0.739 0.261
Ac 0.739 0.261 0.739
Ac 0.261 0.739 0.261
Ac 0.261 0.261 0.739
Ac 0.261 0.739 0.739
Ac 0.739 0.261 0.261

---

Question: The highest spin magnetization belongs to which entry?
Answer: BaCaTc